Here is NiBrNF2 after structural relaxation from the Alexandria database. Energies are from GGA+U.

It has space group P4/mmm (No. 123), with a = 4.694 Å, b = 4.694 Å, c = 3.710 Å, α = 90.00°, β = 90.00° and γ = 90.00°. The asymmetric unit holds Ni at (0.000, 0.000, 0.000), Br at (0.500, 0.500, 0.500), N at (0.500, 0.500, 0.000) and F at (0.000, 0.500, 0.500).

Its energy is -2.40 eV per atom. For the size of the total moment, the calculation gives 1.549 μB per cell. Its density of states at the Fermi level is 6.497 states/eV per cell.